Density functional theory data (GGA-PBE) for a relaxed structure of MnBeGe.

Cell lengths 3.4721, 6.2819, 6.2819 Å; angles 29.85, 90.00, 90.00 degrees
Closest atoms and distances in Å follow each position.
Sites, in units of the cell vectors:
1 Mn 0.0000 0.0000 0.0000  6 Be 2.39, 4 Ge 2.45-2.46
2 Mn 0.5000 0.2000 0.2000  6 Ge 2.44-2.50, 4 Be 2.56-2.69
3 Be 0.0000 0.3548 0.3548  4 Ge 2.37, 4 Mn 2.39-2.56
4 Be 0.5000 0.5232 0.5232  4 Ge 2.34-2.59, 4 Mn 2.39
5 Ge 0.0000 0.6530 0.6530  2 Be 2.34, 6 Mn 2.44-2.46
6 Ge 0.5000 0.8571 0.8571  6 Be 2.37-2.59, 4 Mn 2.45-2.50

Computed properties:
Calculated volume, Å³ per cell: 68.2
E_tot, eV/atom: -5.912
M_tot, Bohr magnetons per cell: 1.8